Record 1
## SrAc2O4 (GGA-PBE)

Data for a relaxed SrAc2O4 crystal.

## Properties
ΔE to the lowest computed polymorph = 13 meV per atom
Formation energy without anion corrections = -3.065 eV/atom

Unit cell a=6.765 b=6.765 c=6.765 alpha=109.01 beta=109.01 gamma=110.39
Positions (direct):
Sr: 0.000 0.000 0.000
Sr: 0.750 0.250 0.500
Ac: 0.231 0.125 0.606
Ac: 0.375 0.769 0.894
Ac: 0.519 0.625 0.394
Ac: 0.875 0.481 0.106
O: 0.127 0.381 0.883
O: 0.131 0.377 0.383
O: 0.252 0.869 0.246
O: 0.498 0.244 0.117
O: 0.619 0.502 0.746
O: 0.623 0.006 0.754
O: 0.756 0.873 0.254
O: 0.994 0.748 0.617

Record 2
## La3MgPb2 (GGA-PBE)

Data for a relaxed La3MgPb2 crystal.

## Properties
ΔE_f = -0.469 eV per atom

Unit cell a=5.291 b=16.044 c=4.464 alpha=90.00 beta=90.00 gamma=90.00
Positions (direct):
La: 0.000 0.000 0.000
La: 0.000 0.328 0.000
La: 0.000 0.672 0.000
La: 0.500 0.172 0.000
La: 0.500 0.500 0.000
La: 0.500 0.828 0.000
Mg: 0.000 0.500 0.500
Mg: 0.500 0.000 0.500
Pb: 0.000 0.157 0.500
Pb: 0.000 0.843 0.500
Pb: 0.500 0.343 0.500
Pb: 0.500 0.657 0.500